A relaxed structure of SiAgSb2. Source: Alexandria, functional GGA-PBE. Values from VASP.

Raw formation energy in eV per atom: 0.354

Quantum ESPRESSO input file:
```
&SYSTEM
  ibrav = 0, nat = 4, ntyp = 3
/
ATOMIC_SPECIES
Sb 121.76 Sb.upf
Ag 107.87 Ag.upf
Si 28.09 Si.upf
ATOMIC_POSITIONS angstrom
Sb 1.531 1.589 2.690
Sb 0.000 0.000 8.980
Ag 1.531 1.589 6.696
Si 0.000 0.000 4.986
CELL_PARAMETERS angstrom
3.120 0.058 0.000
-0.057 3.120 0.000
0.000 0.000 9.340
```